# Pm2FeIrO6 | Alexandria via LeMat-Bulk | GGA+U | relaxed
data_Pm2FeIrO6
_chemical_formula_sum 'Pm4 Fe2 Ir2 O12'
_cell_length_a 5.429
_cell_length_b 5.806
_cell_length_c 9.397
_cell_angle_alpha 90.00
_cell_angle_beta 123.92
_cell_angle_gamma 90.00
_symmetry_space_group_name_H-M 'P 1 21/c 1'
_symmetry_Int_Tables_number 14
loop_
_symmetry_equiv_pos_as_xyz
'x,y,z'
'-x,-y,-z'
'-x,y+1/2,-z+1/2'
'x,-y+1/2,z+1/2'
loop_
_atom_site_label
_atom_site_fract_x
_atom_site_fract_y
_atom_site_fract_z
Pm1 0.228 0.071 0.250
Fe1 0.500 0.000 0.000
Ir1 0.000 0.000 0.500
O1 0.141 0.194 0.948
O2 0.256 0.705 0.945
O3 0.361 0.036 0.752
# Crystal system   monoclinic
# E_tot   -0.280 Ha/atom
# Theoretical density   8.57 g/cm³